(1)
# PBE-GGA HfBSe2Br, optimized geometry
# Formation energy (no corrections) = 330 meV/atom
# Calculated total energy = -0.347 Ry per atom
data_HfBSe2Br
_space_group_name_H-M_alt 'P 1'
_space_group_IT_number 1
_space_group_name_Hall 'P 1'
_cell_length_a 5.186
_cell_length_b 5.186
_cell_length_c 5.250
_cell_angle_alpha 90.00
_cell_angle_beta 90.00
_cell_angle_gamma 90.00
loop_
_atom_site_label
_atom_site_fract_x
_atom_site_fract_y
_atom_site_fract_z
Hf1 0.000 0.000 0.000
B1 0.500 0.500 0.500
Se1 0.000 0.500 0.000
Se2 0.500 0.000 0.000
Br1 0.000 0.000 0.500


(2)
# PBE-GGA HfBSe2Br, optimized geometry
# Formation energy (no corrections) = 398 meV/atom
# Calculated total energy = -0.342 Ry per atom
data_HfBSe2Br
_space_group_name_H-M_alt 'P 1'
_space_group_IT_number 1
_space_group_name_Hall 'P 1'
_cell_length_a 4.576
_cell_length_b 4.576
_cell_length_c 4.391
_cell_angle_alpha 90.00
_cell_angle_beta 90.00
_cell_angle_gamma 90.00
loop_
_atom_site_label
_atom_site_fract_x
_atom_site_fract_y
_atom_site_fract_z
Hf1 0.000 0.000 0.000
B1 0.500 0.500 0.500
Se1 0.000 0.500 0.500
Se2 0.500 0.000 0.500
Br1 0.500 0.500 0.000